Run one
# AgHgBr2, relaxed, DFT GGA-PBE
data_AgHgBr2
_cell_length_a 4.4726
_cell_length_b 6.4623
_cell_length_c 4.4753
_cell_angle_alpha 90.00
_cell_angle_beta 105.04
_cell_angle_gamma 90.00
_space_group_name_H-M_alt 'P 1'
_space_group_IT_number 1
_space_group_name_Hall 'P 1'
loop_
_atom_site_label
_atom_site_type_symbol
_atom_site_fract_x
_atom_site_fract_y
_atom_site_fract_z
_atom_site_occupancy
Ag1 Ag 0.0000 0.0000 0.0000 1
Hg1 Hg 0.5285 0.5000 0.4752 1
Br1 Br 0.0269 0.5000 0.9769 1
Br2 Br 0.6160 0.0000 0.3837 1
# - SG: Pm
# - Magnetic moment: 0.00 Bohr magnetons per cell

Run two
# AgHgBr2, relaxed, DFT GGA-PBE
data_AgHgBr2
_cell_length_a 4.2085
_cell_length_b 4.2085
_cell_length_c 7.5676
_cell_angle_alpha 106.35
_cell_angle_beta 106.35
_cell_angle_gamma 60.01
_space_group_name_H-M_alt 'P 1'
_space_group_IT_number 1
_space_group_name_Hall 'P 1'
loop_
_atom_site_label
_atom_site_type_symbol
_atom_site_fract_x
_atom_site_fract_y
_atom_site_fract_z
_atom_site_occupancy
Ag1 Ag 0.0000 0.0000 0.0000 1
Hg1 Hg 0.5000 0.5000 0.5000 1
Br1 Br 0.2612 0.2612 0.7848 1
Br2 Br 0.7388 0.7388 0.2152 1
# - SG: C2/m
# - Magnetic moment: 0.00 Bohr magnetons per cell

Run three
# AgHgBr2, relaxed, DFT GGA-PBE
data_AgHgBr2
_cell_length_a 3.6841
_cell_length_b 3.6841
_cell_length_c 7.4191
_cell_angle_alpha 90.00
_cell_angle_beta 90.00
_cell_angle_gamma 90.00
_space_group_name_H-M_alt 'P 1'
_space_group_IT_number 1
_space_group_name_Hall 'P 1'
loop_
_atom_site_label
_atom_site_type_symbol
_atom_site_fract_x
_atom_site_fract_y
_atom_site_fract_z
_atom_site_occupancy
Ag1 Ag 0.0000 0.0000 0.0000 1
Hg1 Hg 0.0000 0.0000 0.5000 1
Br1 Br 0.5000 0.5000 0.2338 1
Br2 Br 0.5000 0.5000 0.7662 1
# - SG: P4/mmm
# - Magnetic moment: 0.00 Bohr magnetons per cell

Which structure loses on stability? run three does.

Run one
# AgHgBr2, relaxed, DFT GGA-PBE
data_AgHgBr2
_cell_length_a 4.3235
_cell_length_b 3.9750
_cell_length_c 7.2174
_cell_angle_alpha 90.00
_cell_angle_beta 90.76
_cell_angle_gamma 90.00
_space_group_name_H-M_alt 'P 1'
_space_group_IT_number 1
_space_group_name_Hall 'P 1'
loop_
_atom_site_label
_atom_site_type_symbol
_atom_site_fract_x
_atom_site_fract_y
_atom_site_fract_z
_atom_site_occupancy
Ag1 Ag 0.0000 0.0000 0.0000 1
Hg1 Hg 0.5000 0.0000 0.5000 1
Br1 Br 0.1987 0.5000 0.2274 1
Br2 Br 0.8013 0.5000 0.7726 1
# - SG: P2/m
# - Magnetic moment: 0.00 Bohr magnetons per cell

Run two
# AgHgBr2, relaxed, DFT GGA-PBE
data_AgHgBr2
_cell_length_a 4.1718
_cell_length_b 4.1718
_cell_length_c 8.8641
_cell_angle_alpha 90.00
_cell_angle_beta 90.00
_cell_angle_gamma 121.26
_space_group_name_H-M_alt 'P 1'
_space_group_IT_number 1
_space_group_name_Hall 'P 1'
loop_
_atom_site_label
_atom_site_type_symbol
_atom_site_fract_x
_atom_site_fract_y
_atom_site_fract_z
_atom_site_occupancy
Ag1 Ag 0.0000 0.0000 0.0000 1
Hg1 Hg 0.5000 0.5000 0.2157 1
Br1 Br 0.0000 0.0000 0.4211 1
Br2 Br 0.5000 0.5000 0.8159 1
# - SG: Cmm2
# - Magnetic moment: 0.00 Bohr magnetons per cell

Run three
# AgHgBr2, relaxed, DFT GGA-PBE
data_AgHgBr2
_cell_length_a 4.1486
_cell_length_b 4.1486
_cell_length_c 6.6605
_cell_angle_alpha 90.00
_cell_angle_beta 90.00
_cell_angle_gamma 90.00
_space_group_name_H-M_alt 'P 1'
_space_group_IT_number 1
_space_group_name_Hall 'P 1'
loop_
_atom_site_label
_atom_site_type_symbol
_atom_site_fract_x
_atom_site_fract_y
_atom_site_fract_z
_atom_site_occupancy
Ag1 Ag 0.0000 0.0000 0.0000 1
Hg1 Hg 0.5000 0.5000 0.5427 1
Br1 Br 0.0000 0.0000 0.5664 1
Br2 Br 0.5000 0.5000 0.0552 1
# - SG: P4mm
# - Magnetic moment: 0.00 Bohr magnetons per cell

Run four
# AgHgBr2, relaxed, DFT GGA-PBE
data_AgHgBr2
_cell_length_a 5.2334
_cell_length_b 5.2334
_cell_length_c 5.2334
_cell_angle_alpha 60.00
_cell_angle_beta 60.00
_cell_angle_gamma 60.00
_space_group_name_H-M_alt 'P 1'
_space_group_IT_number 1
_space_group_name_Hall 'P 1'
loop_
_atom_site_label
_atom_site_type_symbol
_atom_site_fract_x
_atom_site_fract_y
_atom_site_fract_z
_atom_site_occupancy
Ag1 Ag 0.0000 0.0000 0.0000 1
Hg1 Hg 0.5000 0.5000 0.5000 1
Br1 Br 0.2500 0.2500 0.2500 1
Br2 Br 0.7500 0.7500 0.7500 1
# - SG: Fm-3m
# - Magnetic moment: 0.00 Bohr magnetons per cell

Which structure loses on stability? run four does.

Run one
# AgHgBr2, relaxed, DFT GGA-PBE
data_AgHgBr2
_cell_length_a 7.8382
_cell_length_b 7.8382
_cell_length_c 7.8382
_cell_angle_alpha 149.83
_cell_angle_beta 149.83
_cell_angle_gamma 43.18
_space_group_name_H-M_alt 'P 1'
_space_group_IT_number 1
_space_group_name_Hall 'P 1'
loop_
_atom_site_label
_atom_site_type_symbol
_atom_site_fract_x
_atom_site_fract_y
_atom_site_fract_z
_atom_site_occupancy
Ag1 Ag 0.0000 0.0000 0.0000 1
Hg1 Hg 0.7500 0.2500 0.5000 1
Br1 Br 0.2500 0.7500 0.5000 1
Br2 Br 0.5000 0.5000 0.0000 1
# - SG: I-4m2
# - Magnetic moment: 0.00 Bohr magnetons per cell

Run two
# AgHgBr2, relaxed, DFT GGA-PBE
data_AgHgBr2
_cell_length_a 7.8539
_cell_length_b 7.8539
_cell_length_c 7.8539
_cell_angle_alpha 30.56
_cell_angle_beta 30.56
_cell_angle_gamma 30.56
_space_group_name_H-M_alt 'P 1'
_space_group_IT_number 1
_space_group_name_Hall 'P 1'
loop_
_atom_site_label
_atom_site_type_symbol
_atom_site_fract_x
_atom_site_fract_y
_atom_site_fract_z
_atom_site_occupancy
Ag1 Ag 0.0000 0.0000 0.0000 1
Hg1 Hg 0.8313 0.8313 0.8313 1
Br1 Br 0.4033 0.4033 0.4033 1
Br2 Br 0.5949 0.5949 0.5949 1
# - SG: R3m
# - Magnetic moment: 0.00 Bohr magnetons per cell

Which structure loses on stability? run one does.